# 1
First-principles (GGA-PBE) data for a relaxed structure of Tb4PmHg4, as listed in Alexandria.

As for the magnetization: 0.0 μB per formula unit. The calculation puts the calculated formation energy at -226.1 kJ/mol of formula units. The volume is 255.2 Å³/f.u.

The structure belongs to space group P4_2/n (No. 86, origin choice 2); the cell edges are 9.585, 9.585 and 5.556 Å and the angles 90.00°, 90.00° and 90.00°. The asymmetric unit holds Tb at (0.099, 0.839, 0.158), Pm at (0.250, 0.250, 0.750) and Hg at (0.044, 0.145, 0.343).

# 2
First-principles (GGA-PBE) data for a relaxed structure of Tb5Pm12Hg2, as listed in Alexandria.

As for the magnetization: 0.0 μB per formula unit. The calculation puts the calculated formation energy at 10.8 kJ/mol of formula units. The volume is 620.1 Å³/f.u.

The structure belongs to space group C2/m (No. 12); the cell edges are 15.524, 9.342 and 8.565 Å and the angles 90.00°, 93.31° and 90.00°. The asymmetric unit holds Tb at (0.000, 0.000, 0.000), Tb at (0.184, 0.500, 0.501), Tb at (0.234, 0.000, 0.087), Pm at (0.056, 0.500, 0.806), Pm at (0.083, 0.000, 0.384), Pm at (0.122, 0.307, 0.152), Pm at (0.152, 0.184, 0.735) and Hg at (0.000, 0.312, 0.500).